# CoBPdPt | OQMD via LeMat-Bulk | PBE | optimized geometry
# - DFT total energy (eV/atom) = -5.733
# - distance to the lowest polymorph of the same formula (kJ/mol of formula units) = 0
# - calculated volume (Å³ per cell) = 200.3
# - magnetic moment (μB per cell) = 6.95
data_CoBPdPt
_symmetry_space_group_name_H-M 'F -4 3 m'
_symmetry_Int_Tables_number 216
_symmetry_space_group_name_Hall 'F -4 2 3'
_cell_length_a 5.851
_cell_length_b 5.851
_cell_length_c 5.851
_cell_angle_alpha 90.00
_cell_angle_beta 90.00
_cell_angle_gamma 90.00
loop_
_atom_site_label
_atom_site_fract_x
_atom_site_fract_y
_atom_site_fract_z
Co1 0.000 0.000 0.000
B1 0.250 0.250 0.750
Pd1 0.250 0.250 0.250
Pt1 0.000 0.000 0.500


# Dy2TmPbC | OQMD via LeMat-Bulk | PBE | optimized geometry
# - DFT total energy (eV/atom) = -5.870
# - calculated volume (Å³ per cell) = 116.7
# - magnetic moment (μB per cell) = 0.01
data_Dy2TmPbC
_symmetry_space_group_name_H-M 'P 4/m m m'
_symmetry_Int_Tables_number 123
_symmetry_space_group_name_Hall '-P 4 2'
_cell_length_a 4.915
_cell_length_b 4.915
_cell_length_c 4.832
_cell_angle_alpha 90.00
_cell_angle_beta 90.00
_cell_angle_gamma 90.00
loop_
_atom_site_label
_atom_site_fract_x
_atom_site_fract_y
_atom_site_fract_z
Dy1 0.000 0.500 0.000
Tm1 0.000 0.000 0.500
Pb1 0.500 0.500 0.500
C1 0.000 0.000 0.000


# TbTaN2O | OQMD via LeMat-Bulk | PBE | optimized geometry
# - DFT total energy (eV/atom) = -9.551
# - calculated volume (Å³ per cell) = 496.0
# - magnetic moment (μB per cell) = 0.00
data_TbTaN2O
_symmetry_space_group_name_H-M 'P 1 21/c 1'
_symmetry_Int_Tables_number 14
_symmetry_space_group_name_Hall '-P 2ybc'
_cell_length_a 7.874
_cell_length_b 7.997
_cell_length_c 11.068
_cell_angle_alpha 90.00
_cell_angle_beta 134.63
_cell_angle_gamma 90.00
loop_
_atom_site_label
_atom_site_fract_x
_atom_site_fract_y
_atom_site_fract_z
Tb1 0.221 0.008 0.481
Tb2 0.239 0.504 0.496
Ta1 0.265 0.248 0.256
Ta2 0.266 0.747 0.761
N1 0.184 0.003 0.206
N2 0.231 0.503 0.259
N3 0.430 0.241 0.680
N4 0.431 0.723 0.001
O1 0.078 0.729 0.000
O2 0.081 0.247 0.832


# TbPmLu | OQMD via LeMat-Bulk | PBE | optimized geometry
# - DFT total energy (eV/atom) = -3.871
# - calculated volume (Å³ per cell) = 453.6
# - magnetic moment (μB per cell) = 0.05
data_TbPmLu
_symmetry_space_group_name_H-M 'F -4 3 m'
_symmetry_Int_Tables_number 216
_symmetry_space_group_name_Hall 'F -4 2 3'
_cell_length_a 7.684
_cell_length_b 7.684
_cell_length_c 7.684
_cell_angle_alpha 90.00
_cell_angle_beta 90.00
_cell_angle_gamma 90.00
loop_
_atom_site_label
_atom_site_fract_x
_atom_site_fract_y
_atom_site_fract_z
Tb1 0.000 0.000 0.000
Pm1 0.250 0.250 0.750
Lu1 0.000 0.000 0.500


# LuTlZnSe3 | OQMD via LeMat-Bulk | PBE | optimized geometry
# - DFT total energy (eV/atom) = -4.205
# - calculated volume (Å³ per cell) = 336.6
# - magnetic moment (μB per cell) = 0.03
data_LuTlZnSe3
_symmetry_space_group_name_H-M 'P 1 21/m 1'
_symmetry_Int_Tables_number 11
_symmetry_space_group_name_Hall '-P 2yb'
_cell_length_a 8.337
_cell_length_b 4.068
_cell_length_c 10.568
_cell_angle_alpha 90.00
_cell_angle_beta 110.07
_cell_angle_gamma 90.00
loop_
_atom_site_label
_atom_site_fract_x
_atom_site_fract_y
_atom_site_fract_z
Lu1 0.187 0.250 0.139
Tl1 0.231 0.750 0.714
Zn1 0.424 0.750 0.390
Se1 0.048 0.250 0.861
Se2 0.272 0.250 0.436
Se3 0.429 0.750 0.160


# AcTbO3 | OQMD via LeMat-Bulk | PBE | optimized geometry
# - DFT total energy (eV/atom) = -8.103
# - calculated volume (Å³ per cell) = 506.9
# - magnetic moment (μB per cell) = 0.00
data_AcTbO3
_symmetry_space_group_name_H-M 'R -3'
_symmetry_Int_Tables_number 148
_symmetry_space_group_name_Hall '-R 3'
_cell_length_a 6.0944
_cell_length_b 6.0944
_cell_length_c 15.7585
_cell_angle_alpha 90.00
_cell_angle_beta 90.00
_cell_angle_gamma 120.00
loop_
_atom_site_label
_atom_site_fract_x
_atom_site_fract_y
_atom_site_fract_z
Ac1 0.0000 0.0000 0.1317
Tb1 0.0000 0.0000 0.3538
O1 0.0294 0.3006 0.2533


# LiZr2O6 | OQMD via LeMat-Bulk | PBE | optimized geometry
# - DFT total energy (eV/atom) = -7.669
# - distance to the lowest polymorph of the same formula (kJ/mol of formula units) = 0
# - calculated volume (Å³ per cell) = 98.8
# - magnetic moment (μB per cell) = 1.00
data_LiZr2O6
_symmetry_space_group_name_H-M 'P 1'
_symmetry_Int_Tables_number 1
_symmetry_space_group_name_Hall 'P 1'
_cell_length_a 3.514
_cell_length_b 5.455
_cell_length_c 6.003
_cell_angle_alpha 112.50
_cell_angle_beta 96.06
_cell_angle_gamma 106.59
loop_
_atom_site_label
_atom_site_fract_x
_atom_site_fract_y
_atom_site_fract_z
Li1 0.000 0.000 0.000
Zr1 0.165 0.704 0.353
Zr2 0.896 0.354 0.752
O1 0.215 0.748 0.032
O2 0.271 0.100 0.721
O3 0.476 0.615 0.672
O4 0.603 0.449 0.446
O5 0.788 0.955 0.394
O6 0.851 0.310 0.075


# Lu2CuAg | OQMD via LeMat-Bulk | PBE | optimized geometry
# - DFT total energy (eV/atom) = -3.887
# - distance to the lowest polymorph of the same formula (kJ/mol of formula units) = 0
# - calculated volume (Å³ per cell) = 315.4
# - magnetic moment (μB per cell) = 0.00
data_Lu2CuAg
_symmetry_space_group_name_H-M 'F -4 3 m'
_symmetry_Int_Tables_number 216
_symmetry_space_group_name_Hall 'F -4 2 3'
_cell_length_a 6.807
_cell_length_b 6.807
_cell_length_c 6.807
_cell_angle_alpha 90.00
_cell_angle_beta 90.00
_cell_angle_gamma 90.00
loop_
_atom_site_label
_atom_site_fract_x
_atom_site_fract_y
_atom_site_fract_z
Lu1 0.000 0.000 0.000
Lu2 0.250 0.250 0.250
Cu1 0.250 0.250 0.750
Ag1 0.000 0.000 0.500


Q: Among the records above, which one has the highest DFT total energy?
A: TbPmLu